Entry from Alexandria: a relaxed Ac3Zn6CuAg2 crystal (GGA-PBE).

a = 6.371 Å, b = 6.371 Å, c = 8.190 Å
α = 90.00°, β = 90.00°, γ = 120.00°
Sites, in units of the cell vectors:
Ac 0.000 0.000 0.000
Ac 0.333 0.667 0.728
Ac 0.667 0.333 0.272
Ag 0.333 0.667 0.106
Ag 0.667 0.333 0.894
Zn 0.806 0.613 0.629
Zn 0.806 0.194 0.629
Zn 0.613 0.806 0.371
Zn 0.387 0.194 0.629
Zn 0.194 0.806 0.371
Zn 0.194 0.387 0.371
Cu 0.000 0.000 0.500

Raw total energy (eV/f.u.): -31.34
Energy relative to the elements (meV/atom): -130.7
Total magnetization (μB per atom): 0.000
Symmetry: P-3m1, No. 164

=====

Entry from Alexandria: a relaxed Ac2Zn4CuAg3 crystal (GGA-PBE).

a = 4.705 Å, b = 4.705 Å, c = 9.952 Å
α = 90.00°, β = 90.00°, γ = 90.00°
Sites, in units of the cell vectors:
Zn 0.000 0.500 0.388
Zn 0.500 0.500 0.000
Zn 0.500 0.000 0.612
Zn 0.000 0.000 0.000
Ag 0.500 0.000 0.873
Ag 0.000 0.500 0.127
Ag 0.000 0.000 0.500
Cu 0.500 0.500 0.500
Ac 0.500 0.000 0.256
Ac 0.000 0.500 0.744

Raw total energy (eV/f.u.): -28.14
Energy relative to the elements (meV/atom): -217.9
Total magnetization (μB per atom): 0.000
Symmetry: P-4m2, No. 115

=====

Entry from Alexandria: a relaxed AcZn3CuAg crystal (GGA-PBE).

a = 6.173 Å, b = 6.264 Å, c = 7.151 Å
α = 115.97°, β = 90.00°, γ = 90.00°
Sites, in units of the cell vectors:
Cu 0.750 0.049 0.099
Cu 0.250 0.951 0.901
Ag 0.250 0.354 0.708
Ag 0.750 0.646 0.292
Zn 0.500 0.290 0.000
Zn 0.000 0.290 0.000
Zn 0.750 0.860 0.719
Zn 0.000 0.710 0.000
Zn 0.500 0.710 0.000
Zn 0.250 0.140 0.281
Ac 0.250 0.724 0.448
Ac 0.750 0.276 0.552

Raw total energy (eV/f.u.): -15.44
Energy relative to the elements (meV/atom): -93.7
Total magnetization (μB per atom): 0.000
Symmetry: Cmcm, No. 63

=====

Entry from Alexandria: a relaxed Ac3ZnCu6Ag2 crystal (GGA-PBE).

a = 5.991 Å, b = 5.991 Å, c = 8.475 Å
α = 90.00°, β = 90.00°, γ = 120.00°
Sites, in units of the cell vectors:
Cu 0.384 0.192 0.711
Cu 0.808 0.616 0.711
Cu 0.192 0.808 0.289
Cu 0.808 0.192 0.711
Cu 0.616 0.808 0.289
Cu 0.192 0.384 0.289
Zn 0.000 0.000 0.500
Ag 0.333 0.667 0.023
Ag 0.667 0.333 0.977
Ac 0.000 0.000 0.000
Ac 0.667 0.333 0.371
Ac 0.333 0.667 0.629

Raw total energy (eV/f.u.): -44.07
Energy relative to the elements (meV/atom): -15.7
Total magnetization (μB per atom): 0.000
Symmetry: P-3m1, No. 164

=====

Entry from Alexandria: a relaxed AcDyAg4 crystal (GGA-PBE).

a = 3.702 Å, b = 4.870 Å, c = 8.276 Å
α = 90.00°, β = 90.00°, γ = 90.00°
Sites, in units of the cell vectors:
Ac 0.999 0.997 0.498
Ag 0.499 0.497 0.674
Ag 0.499 0.497 0.322
Ag 0.499 0.997 0.836
Ag 0.499 0.997 0.160
Dy 0.999 0.497 0.998

Raw total energy (eV/f.u.): -21.60
Energy relative to the elements (meV/atom): -247.1
Total magnetization (μB per atom): 0.000
Distance to the lowest polymorph of the same formula (eV/atom): 0.040
Symmetry: Pmmm, No. 47

=====

Entry from Alexandria: a relaxed AcDy2Ag6 crystal (GGA-PBE).

a = 3.603 Å, b = 8.321 Å, c = 8.321 Å
α = 120.00°, β = 90.00°, γ = 90.00°
Sites, in units of the cell vectors:
Ag 0.500 0.662 0.000
Ag 0.500 0.000 0.338
Ag 0.500 0.662 0.662
Ag 0.500 0.338 0.338
Ag 0.500 0.338 0.000
Ag 0.500 0.000 0.662
Ac 0.000 0.000 0.000
Dy 0.000 0.667 0.333
Dy 0.000 0.333 0.667

Raw total energy (eV/f.u.): -32.56
Energy relative to the elements (meV/atom): -237.8
Total magnetization (μB per atom): 0.000
Symmetry: P6/mmm, No. 191

=====

Entry from Alexandria: a relaxed AcDy3Ag2 crystal (GGA-PBE).

a = 5.375 Å, b = 9.365 Å, c = 8.854 Å
α = 123.20°, β = 90.00°, γ = 106.68°
Sites, in units of the cell vectors:
Ac 0.866 0.732 0.926
Ac 0.134 0.268 0.074
Dy 0.936 0.871 0.593
Dy 0.384 0.768 0.286
Dy 0.303 0.607 0.600
Dy 0.616 0.232 0.714
Dy 0.697 0.393 0.400
Dy 0.064 0.129 0.407
Ag 0.222 0.444 0.829
Ag 0.498 0.996 0.840
Ag 0.778 0.556 0.171
Ag 0.502 0.004 0.160

Raw total energy (eV/f.u.): -24.36
Energy relative to the elements (meV/atom): -123.0
Total magnetization (μB per atom): 0.000
Distance to the lowest polymorph of the same formula (eV/atom): 0.054
Symmetry: C2/m, No. 12

=====

Entry from Alexandria: a relaxed Ac3DyAg4 crystal (GGA-PBE).

a = 3.870 Å, b = 3.870 Å, c = 15.585 Å
α = 90.00°, β = 90.00°, γ = 90.00°
Sites, in units of the cell vectors:
Ac 0.500 0.500 0.240
Ac 0.500 0.500 0.760
Ac 0.500 0.500 0.500
Ag 0.000 0.000 0.102
Ag 0.000 0.000 0.630
Ag 0.000 0.000 0.898
Ag 0.000 0.000 0.370
Dy 0.500 0.500 0.000

Raw total energy (eV/f.u.): -30.44
Energy relative to the elements (meV/atom): -263.2
Total magnetization (μB per atom): 0.000
Symmetry: P4/mmm, No. 123

=====

Entry from Alexandria: a relaxed Ac5DyAg4 crystal (GGA-PBE).

a = 3.948 Å, b = 3.948 Å, c = 20.923 Å
α = 90.00°, β = 90.00°, γ = 90.00°
Sites, in units of the cell vectors:
Ac 0.500 0.500 0.880
Ac 0.500 0.500 0.309
Ac 0.500 0.500 0.500
Ac 0.500 0.500 0.691
Ac 0.500 0.500 0.120
Dy 0.000 0.000 0.000
Ag 0.000 0.000 0.595
Ag 0.000 0.000 0.787
Ag 0.000 0.000 0.405
Ag 0.000 0.000 0.213

Raw total energy (eV/f.u.): -38.45
Energy relative to the elements (meV/atom): -189.6
Total magnetization (μB per atom): 0.000
Symmetry: P4/mmm, No. 123

=====

Entry from Alexandria: a relaxed AcDyAg2 crystal (GGA-PBE).

a = 5.399 Å, b = 5.399 Å, c = 5.399 Å
α = 60.00°, β = 60.00°, γ = 60.00°
Sites, in units of the cell vectors:
Dy 0.000 0.000 0.000
Ac 0.500 0.500 0.500
Ag 0.750 0.750 0.750
Ag 0.250 0.250 0.250

Raw total energy (eV/f.u.): -15.36
Energy relative to the elements (meV/atom): -235.7
Total magnetization (μB per atom): 0.000
Distance to the lowest polymorph of the same formula (eV/atom): 0.045
Symmetry: Fm-3m, No. 225

=====

Entry from Alexandria: a relaxed AcDyAg crystal (GGA-PBE).

a = 4.995 Å, b = 4.995 Å, c = 7.739 Å
α = 90.00°, β = 90.00°, γ = 90.00°
Sites, in units of the cell vectors:
Ac 0.814 0.867 0.546
Ac 0.314 0.366 0.293
Ag 0.314 0.366 0.699
Ag 0.814 0.866 0.141
Dy 0.314 0.866 0.920
Dy 0.814 0.367 0.920

Raw total energy (eV/f.u.): -12.05
Energy relative to the elements (meV/atom): -161.6
Total magnetization (μB per atom): 0.000
Distance to the lowest polymorph of the same formula (eV/atom): 0.000
Symmetry: P4/nmm, No. 129

=====

Entry from Alexandria: a relaxed AcDyAg crystal (GGA-PBE).

a = 3.800 Å, b = 3.800 Å, c = 7.028 Å
α = 105.69°, β = 105.69°, γ = 90.00°
Sites, in units of the cell vectors:
Ag 0.685 0.685 0.371
Ac 0.012 0.012 0.023
Dy 0.303 0.303 0.606

Raw total energy (eV/f.u.): -11.98
Energy relative to the elements (meV/atom): -140.9
Total magnetization (μB per atom): 0.002
Distance to the lowest polymorph of the same formula (eV/atom): 0.021
Symmetry: I4mm, No. 107

=====

> What is the total magnetization in the sixth record?

0.000 μB per atom